11
Lattice="5.073 0.009 0.048 -1.399 5.317 -0.064 -0.186 -2.457 6.349" Properties=species:S:1:pos:R:3 comment="SnW2O8, relaxed, DFT PBE with a Hubbard U" polymorph_energy_mev_per_atom=55.7 volume_a3_per_atom=15.523 m_tot_mub_per_cell=0.00 e_tot_ev_per_cell=-77.25 pbc="T T T"
Sn 2.537 0.004 0.024
W 0.466 2.369 1.141
W 3.023 0.500 5.193
O -0.258 2.784 2.651
O 1.434 0.833 1.556
O -0.546 1.353 6.136
O 1.597 -0.793 5.364
O 2.055 2.036 4.777
O 3.747 0.085 3.683
O 4.035 1.516 0.198
O 1.892 3.662 0.970